(1)
Material: Ba6TlCd
Method: DFT, PBE-GGA
State: relaxed

Results
For the formation energy, the calculation gives -189 meV per atom. The value obtained for the mass density is 4.565 g/cm³. Its distance to the lowest polymorph of the same formula is 0 meV per atom. Its space-group type is No. 139. The total DFT energy (no corrections) comes out at -16.331 eV/f.u.

Lattice parameters (Å, degrees): 6.116 6.116 11.908 75.12 75.12 90.00
Sites, in units of the cell vectors:
Ba (0.748, 0.748, 0.504)
Ba (0.591, 0.092, 0.817)
Ba (0.092, 0.592, 0.817)
Ba (0.409, 0.908, 0.183)
Ba (0.252, 0.252, 0.496)
Ba (0.908, 0.408, 0.183)
Tl (0.500, 0.500, 0.000)
Cd (0.000, 0.000, 0.000)



(2)
Material: PuZr2Pa
Method: DFT, PBE-GGA
State: relaxed

Results
For the formation energy, the calculation gives 57 meV per atom. The value obtained for the mass density is 11.471 g/cm³. Its distance to the lowest polymorph of the same formula is 0 meV per atom. Its space-group type is No. 12. The total DFT energy (no corrections) comes out at -40.695 eV/f.u.

Lattice parameters (Å, degrees): 3.231 5.539 11.226 97.47 89.97 107.00
Sites, in units of the cell vectors:
Pu (0.129, 0.259, 0.176)
Pu (0.871, 0.741, 0.824)
Zr (0.119, 0.236, 0.675)
Zr (0.881, 0.764, 0.325)
Zr (0.627, 0.251, 0.433)
Zr (0.373, 0.749, 0.567)
Pa (0.629, 0.257, 0.928)
Pa (0.371, 0.743, 0.072)



(3)
Material: BaTaS2
Method: DFT, PBE-GGA
State: relaxed

Results
As for the raw formation energy: -280 kJ/mol of formula units. The value obtained for the mass density is 6.233 g/cm³. Its distance to the lowest polymorph of the same formula is 0 meV per atom. Its space-group type is No. 166. The total DFT energy (no corrections) comes out at -24.935 eV/f.u.

Lattice parameters (Å, degrees): 9.310 9.310 9.310 22.30 22.30 22.30
Sites, in units of the cell vectors:
S (0.886, 0.886, 0.886)
S (0.114, 0.114, 0.114)
Ba (0.000, 0.000, 0.000)
Ta (0.500, 0.500, 0.500)



(4)
Material: Pm5SmSb2
Method: DFT, PBE-GGA
State: relaxed

Results
As for the raw formation energy: -405 kJ/mol of formula units. The value obtained for the mass density is 7.282 g/cm³. Its space-group type is No. 63. The total DFT energy (no corrections) comes out at -40.918 eV/f.u.

Lattice parameters (Å, degrees): 4.276 6.495 19.456 90.00 90.00 109.22
Sites, in units of the cell vectors:
Pm (0.956, 0.913, 0.884)
Pm (0.956, 0.913, 0.616)
Pm (0.361, 0.722, 0.475)
Pm (0.361, 0.722, 0.025)
Pm (0.591, 0.182, 0.250)
Pm (0.409, 0.818, 0.750)
Pm (0.639, 0.278, 0.525)
Pm (0.639, 0.278, 0.975)
Pm (0.044, 0.087, 0.116)
Pm (0.044, 0.087, 0.384)
Sm (0.683, 0.366, 0.750)
Sm (0.317, 0.634, 0.250)
Sb (0.758, 0.516, 0.372)
Sb (0.758, 0.516, 0.128)
Sb (0.242, 0.484, 0.628)
Sb (0.242, 0.484, 0.872)



(5)
Material: ScCd3Hg3
Method: DFT, PBE-GGA
State: relaxed

Results
For the formation energy, the calculation gives -85 meV per atom. The value obtained for the mass density is 10.329 g/cm³. Its distance to the lowest polymorph of the same formula is 2 meV per atom. Its space-group type is No. 176. The total DFT energy (no corrections) comes out at -10.579 eV/f.u.

Lattice parameters (Å, degrees): 5.042 8.512 8.512 120.00 90.00 90.00
Sites, in units of the cell vectors:
Sc (0.250, 0.667, 0.333)
Sc (0.750, 0.333, 0.667)
Cd (0.250, 0.816, 0.759)
Cd (0.250, 0.241, 0.057)
Cd (0.250, 0.943, 0.184)
Cd (0.750, 0.184, 0.241)
Cd (0.750, 0.759, 0.943)
Cd (0.750, 0.057, 0.816)
Hg (0.750, 0.613, 0.519)
Hg (0.750, 0.481, 0.094)
Hg (0.750, 0.906, 0.387)
Hg (0.250, 0.387, 0.481)
Hg (0.250, 0.519, 0.906)
Hg (0.250, 0.094, 0.613)



(6)
Material: Y2HoFe9
Method: DFT, PBE-GGA
State: relaxed

Results
For the formation energy, the calculation gives -67 meV per atom. The value obtained for the mass density is 7.722 g/cm³. Its space-group type is No. 166. The total DFT energy (no corrections) comes out at -94.477 eV/f.u.

Lattice parameters (Å, degrees): 5.098 5.098 8.596 72.75 72.75 60.00
Sites, in units of the cell vectors:
Y (0.858, 0.858, 0.425)
Y (0.142, 0.142, 0.575)
Ho (0.000, 0.000, 0.000)
Fe (0.667, 0.667, 0.998)
Fe (0.333, 0.333, 0.002)
Fe (0.500, 0.500, 0.500)
Fe (0.419, 0.419, 0.243)
Fe (0.918, 0.419, 0.243)
Fe (0.419, 0.918, 0.243)
Fe (0.581, 0.581, 0.757)
Fe (0.581, 0.082, 0.757)
Fe (0.082, 0.581, 0.757)



(7)
Material: Li2LaMgHg
Method: DFT, PBE-GGA
State: relaxed

Results
For the formation energy, the calculation gives 95 meV per atom. The value obtained for the mass density is 4.808 g/cm³. Its space-group type is No. 123. The total DFT energy (no corrections) comes out at -10.175 eV/f.u.

Lattice parameters (Å, degrees): 5.016 5.184 5.016 90.00 90.00 90.00
Sites, in units of the cell vectors:
Mg (0.000, 0.000, 0.000)
Li (0.000, 0.000, 0.500)
Li (0.500, 0.000, 0.000)
Hg (0.000, 0.500, 0.000)
La (0.500, 0.500, 0.500)



(8)
Material: Hf2AgW
Method: DFT, PBE-GGA
State: relaxed

Results
For the formation energy, the calculation gives 52 meV per atom. The value obtained for the mass density is 14.239 g/cm³. Its distance to the lowest polymorph of the same formula is 79 meV per atom. Its space-group type is No. 225. The total DFT energy (no corrections) comes out at -35.503 eV/f.u.

Lattice parameters (Å, degrees): 4.747 4.747 4.747 60.00 60.00 60.00
Sites, in units of the cell vectors:
Hf (0.250, 0.250, 0.250)
Hf (0.750, 0.750, 0.750)
Ag (0.000, 0.000, 0.000)
W (0.500, 0.500, 0.500)



(9)
Material: TbPmNi
Method: DFT, PBE-GGA
State: relaxed

Results
For the formation energy, the calculation gives -113 meV per atom. The value obtained for the mass density is 7.078 g/cm³. Its distance to the lowest polymorph of the same formula is 76 meV per atom. Its space-group type is No. 2. The total DFT energy (no corrections) comes out at -15.502 eV/f.u.

Lattice parameters (Å, degrees): 3.620 6.473 8.129 112.98 102.90 90.04
Sites, in units of the cell vectors:
Tb (0.530, 0.228, 0.564)
Tb (0.286, 0.987, 0.073)
Pm (0.785, 0.484, 0.068)
Pm (0.031, 0.730, 0.570)
Ni (0.908, 0.293, 0.319)
Ni (0.908, 0.922, 0.319)



(10)
Material: Na3In2Hg9
Method: DFT, PBE-GGA
State: relaxed

Results
For the formation energy, the calculation gives -128 meV per atom. The value obtained for the mass density is 8.989 g/cm³. Its space-group type is No. 12. The total DFT energy (no corrections) comes out at -13.947 eV/f.u.

Lattice parameters (Å, degrees): 5.228 9.390 9.308 120.29 98.53 90.00
Sites, in units of the cell vectors:
Na (0.000, 0.000, 0.000)
Na (0.252, 0.262, 0.523)
Na (0.748, 0.738, 0.477)
In (0.500, 0.330, 0.000)
In (0.500, 0.670, 0.000)
Hg (0.000, 0.500, 0.000)
Hg (0.286, 0.007, 0.705)
Hg (0.714, 0.993, 0.295)
Hg (0.286, 0.698, 0.705)
Hg (0.714, 0.302, 0.295)
Hg (0.213, 0.838, 0.323)
Hg (0.787, 0.162, 0.677)
Hg (0.213, 0.486, 0.323)
Hg (0.787, 0.514, 0.677)



(11)
Material: KReP2C
Method: DFT, PBE-GGA
State: relaxed

Results
For the formation energy, the calculation gives 4061 meV per atom. The value obtained for the mass density is 3.049 g/cm³. Its space-group type is No. 123. The total DFT energy (no corrections) comes out at -13.285 eV/f.u.

Lattice parameters (Å, degrees): 5.327 5.744 5.327 90.00 90.00 90.00
Sites, in units of the cell vectors:
Re (0.000, 0.500, 0.000)
K (0.000, 0.000, 0.000)
C (0.500, 0.500, 0.500)
P (0.000, 0.000, 0.500)
P (0.500, 0.000, 0.000)



(12)
Material: Sm2DyTl2
Method: DFT, PBE-GGA
State: relaxed

Results
For the formation energy, the calculation gives -248 meV per atom. The value obtained for the mass density is 9.741 g/cm³. Its distance to the lowest polymorph of the same formula is 39 meV per atom. Its space-group type is No. 36. The total DFT energy (no corrections) comes out at -20.014 eV/f.u.

Lattice parameters (Å, degrees): 5.568 6.558 8.605 90.00 108.88 90.00
Sites, in units of the cell vectors:
Sm (0.969, 0.794, 0.937)
Sm (0.802, 0.335, 0.604)
Sm (0.198, 0.835, 0.396)
Sm (0.031, 0.294, 0.063)
Dy (0.403, 0.086, 0.806)
Dy (0.597, 0.586, 0.194)
Tl (0.404, 0.570, 0.808)
Tl (0.780, 0.849, 0.560)
Tl (0.220, 0.349, 0.440)
Tl (0.596, 0.070, 0.192)



(13)
Material: MgReC2
Method: DFT, PBE-GGA
State: relaxed

Results
For the formation energy, the calculation gives 529 meV per atom. The value obtained for the mass density is 6.935 g/cm³. Its space-group type is No. 122. The total DFT energy (no corrections) comes out at -30.374 eV/f.u.

Lattice parameters (Å, degrees): 4.878 4.878 5.847 65.35 65.35 90.00
Sites, in units of the cell vectors:
Re (0.000, 0.000, 0.000)
Re (0.750, 0.250, 0.500)
Mg (0.500, 0.500, 0.000)
Mg (0.250, 0.750, 0.500)
C (0.681, 0.125, 0.250)
C (0.069, 0.625, 0.250)
C (0.375, 0.319, 0.750)
C (0.875, 0.931, 0.750)



(14)
Material: Rb3TeAu
Method: DFT, PBE-GGA
State: relaxed

Results
As for the raw formation energy: -333 kJ/mol of formula units. The value obtained for the mass density is 4.108 g/cm³. Its distance to the lowest polymorph of the same formula is 9 meV per atom. Its space-group type is No. 14. The total DFT energy (no corrections) comes out at -12.775 eV/f.u.

Lattice parameters (Å, degrees): 8.496 9.552 12.213 108.61 90.00 90.00
Sites, in units of the cell vectors:
Rb (0.000, 0.000, 0.250)
Rb (0.000, 0.000, 0.750)
Rb (0.500, 0.000, 0.250)
Rb (0.500, 0.000, 0.750)
Rb (0.513, 0.669, 0.417)
Rb (0.487, 0.331, 0.583)
Rb (0.013, 0.331, 0.083)
Rb (0.987, 0.669, 0.917)
Rb (0.988, 0.669, 0.417)
Rb (0.012, 0.331, 0.583)
Rb (0.488, 0.331, 0.083)
Rb (0.512, 0.669, 0.917)
Te (0.750, 0.658, 0.165)
Te (0.250, 0.342, 0.835)
Te (0.250, 0.342, 0.335)
Te (0.750, 0.658, 0.665)
Au (0.250, 0.969, 0.492)
Au (0.750, 0.031, 0.508)
Au (0.750, 0.031, 0.008)
Au (0.250, 0.969, 0.992)



(15)
Material: SmThMgCd
Method: DFT, PBE-GGA
State: relaxed

Results
For the formation energy, the calculation gives -74 meV per atom. The value obtained for the mass density is 7.651 g/cm³. Its space-group type is No. 216. The total DFT energy (no corrections) comes out at -14.947 eV/f.u.

Lattice parameters (Å, degrees): 5.421 5.421 5.421 60.00 60.00 60.00
Sites, in units of the cell vectors:
Mg (0.250, 0.250, 0.250)
Sm (0.000, 0.000, 0.000)
Th (0.500, 0.500, 0.500)
Cd (0.750, 0.750, 0.750)



(16)
Material: Y2CdAg
Method: DFT, PBE-GGA
State: relaxed

Results
For the formation energy, the calculation gives -24 meV per atom. The value obtained for the mass density is 6.776 g/cm³. Its space-group type is No. 216. The total DFT energy (no corrections) comes out at -16.791 eV/f.u.

Lattice parameters (Å, degrees): 5.167 5.167 5.167 60.00 60.00 60.00
Sites, in units of the cell vectors:
Ag (0.500, 0.500, 0.500)
Cd (0.250, 0.250, 0.250)
Y (0.000, 0.000, 0.000)
Y (0.750, 0.750, 0.750)



(17)
Material: Y2Si4Ir3
Method: DFT, PBE-GGA
State: relaxed

Results
As for the raw formation energy: -653 kJ/mol of formula units. The value obtained for the mass density is 9.186 g/cm³. Its distance to the lowest polymorph of the same formula is 193 meV per atom. Its space-group type is No. 69. The total DFT energy (no corrections) comes out at -67.976 eV/f.u.

Lattice parameters (Å, degrees): 5.536 5.536 6.531 102.12 102.12 120.30
Sites, in units of the cell vectors:
Y (0.635, 0.635, 0.269)
Y (0.365, 0.365, 0.731)
Si (0.015, 0.666, 0.681)
Si (0.666, 0.015, 0.681)
Si (0.985, 0.334, 0.319)
Si (0.334, 0.985, 0.319)
Ir (0.500, 0.000, 0.000)
Ir (0.000, 0.000, 0.000)
Ir (0.000, 0.500, 0.000)



(18)
Material: La2ZnAu2
Method: DFT, PBE-GGA
State: relaxed

Results
For the formation energy, the calculation gives -390 meV per atom. The value obtained for the mass density is 9.165 g/cm³. Its space-group type is No. 139. The total DFT energy (no corrections) comes out at -19.634 eV/f.u.

Lattice parameters (Å, degrees): 3.920 3.920 9.124 77.60 77.60 90.00
Sites, in units of the cell vectors:
Zn (0.000, 0.000, 0.000)
Au (0.750, 0.250, 0.500)
Au (0.250, 0.750, 0.500)
La (0.395, 0.395, 0.209)
La (0.605, 0.605, 0.791)



(19)
Material: HoLu2Pt
Method: DFT, PBE-GGA
State: relaxed

Results
For the formation energy, the calculation gives -637 meV per atom. The value obtained for the mass density is 11.637 g/cm³. Its distance to the lowest polymorph of the same formula is 0 meV per atom. Its space-group type is No. 123. The total DFT energy (no corrections) comes out at -22.208 eV/f.u.

Lattice parameters (Å, degrees): 3.492 3.492 8.306 90.00 90.00 90.00
Sites, in units of the cell vectors:
Lu (0.000, 0.000, 0.805)
Lu (0.000, 0.000, 0.195)
Ho (0.500, 0.500, 0.500)
Pt (0.500, 0.500, 0.000)



(20)
Material: Be2AlPd
Method: DFT, PBE-GGA
State: relaxed

Results
For the formation energy, the calculation gives -328 meV per atom. The value obtained for the mass density is 5.390 g/cm³. Its space-group type is No. 123. The total DFT energy (no corrections) comes out at -17.699 eV/f.u.

Lattice parameters (Å, degrees): 3.500 3.650 3.650 90.00 90.00 90.00
Sites, in units of the cell vectors:
Be (0.000, 0.000, 0.500)
Be (0.000, 0.500, 0.000)
Al (0.500, 0.500, 0.500)
Pd (0.500, 0.000, 0.000)